FeCu2WO after structural relaxation, computed with PBE+U.

Results
SG = P4/mmm (123)
Energy = -3.10 eV per atom
Total magnetization = 2.30 Bohr magnetons per cell

Lattice parameters (Å, degrees): 4.7581 4.7581 4.8808 90.00 90.00 90.00
Element x y z (fractional)
1 Fe 0.0000 0.0000 0.0000
2 Cu 0.0000 0.5000 0.5000
3 Cu 0.5000 0.0000 0.5000
4 W 0.0000 0.0000 0.5000
5 O 0.5000 0.5000 0.0000